# Tl3SiB

An optimized crystal structure of Tl3SiB (PBE, the Alexandria database).

Cell lengths 4.9564, 4.9564, 4.9564 Å; angles 90.00, 90.00, 90.00 degrees
With the nearest neighbours (Å) after each atom.
Sites, in units of the cell vectors:
Tl 0.0000 0.0000 0.5000  2 B 2.48
Tl 0.0000 0.5000 0.0000  2 B 2.48
Tl 0.5000 0.0000 0.0000  2 B 2.48
Si 0.5000 0.5000 0.5000  12 Tl 3.50
B 0.0000 0.0000 0.0000  6 Tl 2.48

Results
formation energy without anion corrections: 91 kJ/mol of atoms
raw total energy: -14.51 eV per cell
energy above the lowest structure with this stoichiometry: 0 meV per atom



# PmDy2Pb3

An optimized crystal structure of PmDy2Pb3 (PBE, the Alexandria database).

Cell lengths 9.1260, 9.1260, 6.4585 Å; angles 99.79, 99.79, 41.45 degrees
With the nearest neighbours (Å) after each atom.
Sites, in units of the cell vectors:
Pm 0.1221 0.8779 0.7500  6 Pb 3.21-3.56
Pm 0.8779 0.1221 0.2500  6 Pb 3.21-3.56
Dy 0.2153 0.4509 0.4031  6 Pb 3.18-3.56
Dy 0.4509 0.2153 0.9031  6 Pb 3.18-3.56
Dy 0.5491 0.7847 0.0969  6 Pb 3.18-3.56
Dy 0.7847 0.5491 0.5969  6 Pb 3.18-3.56
Pb 0.0579 0.2777 0.0769  5 Dy 3.18-3.56, 1 Pm 3.26, 2 Pb 3.53
Pb 0.2777 0.0579 0.5769  5 Dy 3.18-3.56, 1 Pm 3.26, 2 Pb 3.53
Pb 0.3813 0.6187 0.2500  2 Dy 3.18, 2 Pm 3.21-3.25
Pb 0.6187 0.3813 0.7500  2 Dy 3.18, 2 Pm 3.21-3.25
Pb 0.7223 0.9421 0.4231  5 Dy 3.18-3.56, 1 Pm 3.26, 2 Pb 3.53
Pb 0.9421 0.7223 0.9231  5 Dy 3.18-3.56, 1 Pm 3.26, 2 Pb 3.53

Results
energy of formation: -0.475 eV/atom
raw total energy: -55.86 eV per cell
energy above the lowest structure with this stoichiometry: 32 meV per atom



# Ti7Au2N2

An optimized crystal structure of Ti7Au2N2 (PBE, the Alexandria database).

Cell lengths 5.4514, 5.4514, 5.8369 Å; angles 90.06, 90.06, 74.76 degrees
With the nearest neighbours (Å) after each atom.
Sites, in units of the cell vectors:
Ti 0.0000 0.0000 0.0000  2 N 2.32
Ti 0.9997 0.4998 0.2235  2 N 2.11
Ti 0.0003 0.5002 0.7765  2 N 2.11
Ti 0.4998 0.9997 0.2235  2 N 2.11
Ti 0.5002 0.0003 0.7765  2 N 2.11
Ti 0.4996 0.4996 0.2130  2 N 2.36-2.37, 1 Ti 2.49, 2 Au 2.63
Ti 0.5004 0.5004 0.7870  2 N 2.36-2.37, 1 Ti 2.49, 2 Au 2.63
Au 0.1938 0.8062 0.5000  1 Au 2.57, 6 Ti 2.63-2.73
Au 0.8062 0.1938 0.5000  1 Au 2.57, 6 Ti 2.63-2.73
N 0.2674 0.2674 0.0000  6 Ti 2.11-2.36
N 0.7326 0.7326 0.0000  6 Ti 2.11-2.36

Results
formation energy without anion corrections: -49 kJ/mol of atoms
raw total energy: -84.07 eV per cell



# HfTi3Ge

An optimized crystal structure of HfTi3Ge (PBE, the Alexandria database).

Cell lengths 4.8138, 4.8138, 4.8138 Å; angles 90.00, 90.00, 90.00 degrees
With the nearest neighbours (Å) after each atom.
Sites, in units of the cell vectors:
Hf 0.0000 0.0000 0.0000  6 Ti 2.41
Ti 0.0000 0.0000 0.5000  2 Hf 2.41
Ti 0.0000 0.5000 0.0000  2 Hf 2.41
Ti 0.5000 0.0000 0.0000  2 Hf 2.41
Ge 0.5000 0.5000 0.5000  12 Ti 3.40

Results
energy of formation: 1.217 eV/atom
raw total energy: -32.17 eV per cell
energy above the lowest structure with this stoichiometry: 1507 meV per atom



# SrTaBr2

An optimized crystal structure of SrTaBr2 (PBE, the Alexandria database).

Cell lengths 3.4948, 3.4948, 10.9333 Å; angles 90.00, 90.00, 90.00 degrees
With the nearest neighbours (Å) after each atom.
Sites, in units of the cell vectors:
Sr 0.0000 0.0000 0.0000  8 Br 3.08
Ta 0.0000 0.0000 0.5000  4 Ta 3.49
Br 0.5000 0.5000 0.1684  4 Sr 3.08
Br 0.5000 0.5000 0.8316  4 Sr 3.08

Results
formation energy without anion corrections: 4 kJ/mol of atoms
raw total energy: -16.71 eV per cell
energy above the lowest structure with this stoichiometry: 376 meV per atom



# Ba2TcW

An optimized crystal structure of Ba2TcW (PBE, the Alexandria database).

Cell lengths 3.5208, 3.5208, 10.1039 Å; angles 90.00, 90.00, 90.00 degrees
With the nearest neighbours (Å) after each atom.
Sites, in units of the cell vectors:
Ba 0.0000 0.0000 0.0000  1 Tc 3.35, 4 Ba 3.52, 4 W 3.67
Ba 0.5000 0.5000 0.4030  1 W 3.33, 4 Ba 3.52, 4 Tc 3.66
Tc 0.0000 0.0000 0.6689  4 W 2.57
W 0.5000 0.5000 0.7327  4 Tc 2.57

Results
energy of formation: 0.632 eV/atom
raw total energy: -24.64 eV per cell
energy above the lowest structure with this stoichiometry: 124 meV per atom



# NaPIr3

An optimized crystal structure of NaPIr3 (PBE, the Alexandria database).

Cell lengths 4.4810, 4.4810, 4.4810 Å; angles 90.00, 90.00, 90.00 degrees
With the nearest neighbours (Å) after each atom.
Sites, in units of the cell vectors:
Na 0.0000 0.0000 0.0000  6 Ir 2.24
P 0.5000 0.5000 0.5000  12 Ir 3.17
Ir 0.0000 0.0000 0.5000  2 Na 2.24
Ir 0.0000 0.5000 0.0000  2 Na 2.24
Ir 0.5000 0.0000 0.0000  2 Na 2.24

Results
energy of formation: 2.497 eV/atom
raw total energy: -20.83 eV per cell
energy above the lowest structure with this stoichiometry: 2153 meV per atom



# B2PdIBr

An optimized crystal structure of B2PdIBr (PBE, the Alexandria database).

Cell lengths 4.1581, 4.1581, 7.1457 Å; angles 90.00, 90.00, 90.00 degrees
With the nearest neighbours (Å) after each atom.
Sites, in units of the cell vectors:
B 0.0000 0.5000 0.0000  2 Pd 2.08
B 0.5000 0.0000 0.0000  2 Pd 2.08
Pd 0.0000 0.0000 0.0000  4 B 2.08
I 0.5000 0.5000 0.5000  4 Br 2.94
Br 0.0000 0.0000 0.5000  4 I 2.94

Results
formation energy without anion corrections: 103 kJ/mol of atoms
raw total energy: -16.45 eV per cell



Number 1: DOS(E_F) 3.11 states/eV/f.u.. Number 2: DOS(E_F) 2.43 states/eV/f.u.. Number 3: DOS(E_F) 11.10 states/eV/f.u.. Number 4: DOS(E_F) 6.34 states/eV/f.u.. Number 5: DOS(E_F) 1.21 states/eV/f.u.. Number 6: DOS(E_F) 3.62 states/eV/f.u.. Number 7: DOS(E_F) 3.39 states/eV/f.u.. Number 8: DOS(E_F) 2.32 states/eV/f.u..